# 1
CeV2P | GGA-PBE | optimized geometry

Fermi-level density of states ... 5.6 states/eV/f.u.
DFT formation energy ... -14.7 kJ/mol of atoms

a b c (Å): 4.3792 4.3792 4.3799
angles (deg): 60.01 60.01 60.00
Fractional positions:
Ce  0.0000  0.0000  0.0000
P  0.5000  0.5000  0.5000
V  0.7500  0.7500  0.7499
V  0.2500  0.2500  0.2501

=====

# 2
PuU3Pa2As6 | GGA-PBE | optimized geometry

Fermi-level density of states ... 30.7 states/eV/f.u.
DFT formation energy ... -85.4 kJ/mol of atoms

a b c (Å): 7.0341 7.0341 7.2036
angles (deg): 99.37 99.37 120.01
Site moments in Bohr magnetons follow the coordinates.
Fractional positions:
Pu  0.0000  0.0000  0.0000  5.14
As  0.2514  0.2514  0.7498  -0.05
As  0.5815  0.9163  0.7490  -0.05
As  0.4185  0.0837  0.2510  -0.05
As  0.9163  0.5815  0.7490  -0.05
As  0.7486  0.7486  0.2502  -0.05
As  0.0837  0.4185  0.2510  -0.05
U  0.1657  0.8343  0.5000  2.20
U  0.5000  0.5000  0.5000  2.20
U  0.8343  0.1657  0.5000  2.20
Pa  0.6668  0.3332  0.0000  0.17
Pa  0.3332  0.6668  0.0000  0.17

=====

# 3
Ba2SrCa4 | GGA-PBE | optimized geometry

Fermi-level density of states ... 10.2 states/eV/f.u.
DFT formation energy ... 20.1 kJ/mol of atoms
Energy above the most stable polymorph in this dataset ... 0 meV per atom

a b c (Å): 9.8040 9.8040 9.8040
angles (deg): 109.42 109.57 109.42
Fractional positions:
Ba  0.4939  0.3689  0.6250
Ba  0.8750  0.1311  0.5061
Ba  0.2561  0.6311  0.1250
Ba  0.3750  0.8689  0.7439
Ca  0.4623  0.0937  0.2074
Ca  0.7926  0.2548  0.8863
Ca  0.1185  0.4063  0.3637
Ca  0.9574  0.5937  0.7123
Ca  0.1137  0.9063  0.3685
Ca  0.2877  0.2452  0.8815
Ca  0.6315  0.7452  0.5377
Ca  0.6363  0.7548  0.0426
Sr  0.7500  0.5000  0.2500
Sr  0.0000  0.0000  0.0000